Entry from the Alexandria database: a geometry-optimized Tb8YAl2 structure (PBE-GGA).

Lattice parameters (Å, degrees): 5.613 8.570 8.570 118.24 101.85 101.85
Atoms (fractional coordinates):
Y (0.500, 0.000, 0.000)
Tb (0.500, 0.776, 0.224)
Tb (0.888, 0.912, 0.674)
Tb (0.705, 0.406, 0.406)
Tb (0.295, 0.594, 0.594)
Tb (0.888, 0.674, 0.912)
Tb (0.112, 0.088, 0.326)
Tb (0.500, 0.224, 0.776)
Tb (0.112, 0.326, 0.088)
Al (0.000, 0.692, 0.308)
Al (0.000, 0.308, 0.692)

Values from the calculation:
For the total DFT energy (no corrections), the calculation gives -0.170 hartree per atom. The calculation puts the formation energy at 0.0077 eV/atom. The calculated density is 7.06 g/cm³.